# 1
Computed, not measured: a relaxed structure of CaMgSn2 at the PBE level of DFT.

Properties
The calculation puts the energy of formation at -0.329 eV per atom.

Structure (POSCAR):
```
CaMgSn2
1.0
-1.387 2.771 1.430
1.496 -2.002 5.331
5.333 1.756 1.773
Sn Mg Ca
2 1 1
direct
0.500 0.054 0.446
0.500 0.554 0.946
0.500 0.554 0.446
0.000 0.054 0.946
```

# 2
Computed, not measured: a relaxed structure of Ca2Mg5Sn4 at the PBE level of DFT.

Properties
The calculation puts the energy of formation at -0.191 eV per atom.

Structure (POSCAR):
```
Ca2Mg5Sn4
1.0
6.169 0.000 0.000
3.085 5.919 0.000
3.085 0.000 8.500
Mg Ca Sn
5 2 4
direct
0.250 0.500 0.500
0.750 0.500 0.500
0.500 0.000 0.000
0.500 0.500 0.000
0.000 0.500 0.000
0.147 0.000 0.706
0.853 0.000 0.294
0.232 0.260 0.275
0.768 0.740 0.725
0.492 0.740 0.275
0.508 0.260 0.725
```

# 3
Computed, not measured: a relaxed structure of Ca2MgSn8 at the PBE level of DFT.

Properties
The calculation puts the energy of formation at -0.271 eV per atom.

Structure (POSCAR):
```
Ca2MgSn8
1.0
-1.595 -0.342 4.485
-0.387 -4.731 -0.498
12.432 -1.470 4.310
Sn Ca Mg
8 2 1
direct
0.000 0.500 0.500
0.500 0.000 0.862
0.500 0.500 0.684
0.500 0.000 0.500
0.000 0.500 0.862
0.000 0.500 0.138
0.500 0.500 0.316
0.500 0.000 0.138
0.000 0.000 0.323
0.000 0.000 0.677
0.000 0.000 0.000
```

# 4
Computed, not measured: a relaxed structure of CaMg3Sn3 at the PBE level of DFT.

Properties
The calculation puts the energy of formation at 0.222 eV per atom. As for the energy above the most stable polymorph in this dataset: 0.3609 eV per atom.

Structure (POSCAR):
```
CaMg3Sn3
1.0
7.853 0.000 0.000
0.000 7.853 0.000
0.000 0.000 7.853
Sn Mg Ca
6 6 2
direct
0.250 0.000 0.500
0.000 0.500 0.750
0.000 0.500 0.250
0.500 0.750 0.000
0.500 0.250 0.000
0.750 0.000 0.500
0.000 0.250 0.500
0.500 0.000 0.250
0.750 0.500 0.000
0.250 0.500 0.000
0.000 0.750 0.500
0.500 0.000 0.750
0.500 0.500 0.500
0.000 0.000 0.000
```

# 5
Computed, not measured: a relaxed structure of Ca3MgSn3 at the PBE level of DFT.

Properties
The calculation puts the energy of formation at -0.381 eV per atom.

Structure (POSCAR):
```
Ca3MgSn3
1.0
7.671 1.599 0.562
-1.986 7.580 0.562
-0.246 -0.397 7.241
Sn Ca Mg
6 6 2
direct
0.506 0.978 0.712
0.920 0.920 0.168
0.978 0.506 0.712
0.494 0.022 0.288
0.080 0.080 0.832
0.022 0.494 0.288
0.721 0.279 0.000
0.173 0.827 0.500
0.673 0.673 0.414
0.827 0.173 0.500
0.327 0.327 0.586
0.279 0.721 0.000
0.798 0.798 0.833
0.202 0.202 0.167
```

# 6
Computed, not measured: a relaxed structure of Ca2Mg2Sn at the PBE level of DFT.

Properties
The calculation puts the energy of formation at 0.202 eV per atom. As for the energy above the most stable polymorph in this dataset: 0.4154 eV per atom.

Structure (POSCAR):
```
Ca2Mg2Sn
1.0
-2.590 1.775 -3.465
2.459 -2.481 -3.108
-4.768 -5.874 -2.599
Ca Mg Sn
2 2 1
direct
0.250 0.750 0.500
0.750 0.250 0.500
0.593 0.593 0.814
0.407 0.407 0.186
0.000 0.000 0.000
```

# 7
Computed, not measured: a relaxed structure of Ca3Mg4Sn4 at the PBE level of DFT.

Properties
The calculation puts the energy of formation at -0.478 eV per atom.

Structure (POSCAR):
```
Ca3Mg4Sn4
1.0
-2.494 2.928 2.800
-6.621 -2.763 -3.009
4.327 -5.675 5.748
Sn Ca Mg
4 3 4
direct
0.782 0.282 0.564
0.218 0.718 0.436
0.500 0.192 0.000
0.500 0.808 0.000
0.000 0.500 0.000
0.883 0.883 0.766
0.117 0.117 0.234
0.672 0.870 0.344
0.328 0.526 0.656
0.328 0.130 0.656
0.672 0.474 0.344
```

# 8
Computed, not measured: a relaxed structure of Ca2MgSn9 at the PBE level of DFT.

Properties
The calculation puts the energy of formation at -0.250 eV per atom.

Structure (POSCAR):
```
Ca2MgSn9
1.0
-3.961 -0.248 -2.619
1.860 -3.611 -2.472
-5.549 -9.204 9.267
Sn Mg Ca
9 1 2
direct
0.500 0.000 0.500
0.500 0.500 0.330
0.500 0.000 0.840
0.500 0.500 0.670
0.000 0.500 0.160
0.500 0.000 0.160
0.000 0.500 0.500
0.500 0.500 0.000
0.000 0.500 0.840
0.000 0.000 0.000
0.000 0.000 0.334
0.000 0.000 0.666
```

# 9
Computed, not measured: a relaxed structure of CaMgSn6 at the PBE level of DFT.

Properties
The calculation puts the energy of formation at -0.185 eV per atom.

Structure (POSCAR):
```
CaMgSn6
1.0
4.722 0.000 0.000
0.000 4.722 0.000
0.000 0.000 9.563
Sn Ca Mg
6 1 1
direct
0.500 0.000 0.258
0.000 0.500 0.258
0.500 0.000 0.742
0.500 0.500 0.000
0.500 0.500 0.500
0.000 0.500 0.742
0.000 0.000 0.000
0.000 0.000 0.500
```

# 10
Computed, not measured: a relaxed structure of CaMgSn2 at the PBE level of DFT.

Properties
The calculation puts the energy of formation at -0.366 eV per atom.

Structure (POSCAR):
```
CaMgSn2
1.0
3.875 0.000 0.000
0.000 3.875 0.000
0.000 0.000 7.037
Sn Ca Mg
2 1 1
direct
0.000 0.000 0.218
0.000 0.000 0.782
0.500 0.500 0.500
0.500 0.500 0.000
```

# 11
Computed, not measured: a relaxed structure of CaMg3Sn3 at the PBE level of DFT.

Properties
The calculation puts the energy of formation at -0.138 eV per atom. As for the energy above the most stable polymorph in this dataset: 0.0000 eV per atom.

Structure (POSCAR):
```
CaMg3Sn3
1.0
8.390 0.000 0.000
4.195 7.266 0.000
4.195 2.422 6.484
Ca Sn Mg
2 6 6
direct
0.666 0.666 0.002
0.334 0.334 0.998
0.360 0.066 0.811
0.236 0.640 0.189
0.934 0.236 0.189
0.066 0.764 0.811
0.764 0.360 0.811
0.640 0.934 0.189
0.766 0.110 0.651
0.473 0.766 0.651
0.234 0.890 0.349
0.890 0.527 0.349
0.527 0.234 0.349
0.110 0.473 0.651
```

# 12
Computed, not measured: a relaxed structure of CaMg3Sn at the PBE level of DFT.

Properties
The calculation puts the energy of formation at 0.204 eV per atom. As for the energy above the most stable polymorph in this dataset: 0.0000 eV per atom.

Structure (POSCAR):
```
CaMg3Sn
1.0
5.482 0.000 0.000
0.000 5.482 0.000
0.000 0.000 5.482
Mg Sn Ca
3 1 1
direct
0.500 0.000 0.000
0.000 0.000 0.500
0.000 0.500 0.000
0.000 0.000 0.000
0.500 0.500 0.500
```

no.,mass density (Mg/m³)
1,4.6
2,3.6
3,5.8
4,3.2
5,3.7
6,2.6
7,3.9
8,6.1
9,6.0
10,4.7
11,3.9
12,2.3